Material: GdNbN2O
Method: DFT, PBE
State: relaxed

Calculated values
The value obtained for the calculated volume is 12.62 Å³ per atom. As for the total energy: -9.022 eV per atom. The total magnetization comes out at 0.00 μB per formula unit.

a = 7.932 Å, b = 8.009 Å, c = 11.137 Å
α = 90.00°, β = 134.47°, γ = 90.00°
Space group P2_1/c (No. 14)
One atom of each set of equivalent atoms:
Gd  0.219  0.009  0.481 x4
Gd  0.238  0.506  0.497 x4
Nb  0.266  0.246  0.257 x4
Nb  0.268  0.749  0.762 x4
N  0.181  0.004  0.203 x4
N  0.229  0.504  0.259 x4
N  0.431  0.240  0.682 x4
N  0.432  0.720  0.000 x4
O  0.080  0.729  0.000 x4
O  0.084  0.244  0.835 x4

=====

Material: GdNbN2O
Method: DFT, PBE
State: relaxed

Calculated values
The value obtained for the calculated volume is 12.71 Å³ per atom. As for the total energy: -9.004 eV per atom. The total magnetization comes out at 0.00 μB per formula unit.

a = 7.835 Å, b = 5.687 Å, c = 5.703 Å
α = 90.00°, β = 90.00°, γ = 90.00°
Space group Ima2 (No. 46)
One atom of each set of equivalent atoms:
Gd  0.250  0.024  0.000 x4
Nb  0.000  0.000  0.491 x4
N  0.064  0.249  0.271 x8
O  0.250  0.619  0.028 x4

=====

Material: GdNbN2O
Method: DFT, PBE
State: relaxed

Calculated values
The value obtained for the calculated volume is 12.63 Å³ per atom. As for the total energy: -8.993 eV per atom. The total magnetization comes out at 0.00 μB per formula unit.

a = 5.672 Å, b = 7.878 Å, c = 5.653 Å
α = 90.00°, β = 90.00°, γ = 90.00°
Space group Pnma (No. 62)
One atom of each set of equivalent atoms:
Gd  0.003  0.250  0.027 x4
Nb  0.000  0.000  0.500 x4
N  0.248  0.564  0.752 x8
O  0.002  0.750  0.383 x4

=====

Material: GdNbN2O
Method: DFT, PBE
State: relaxed

Calculated values
The value obtained for the calculated volume is 13.09 Å³ per atom. As for the total energy: -8.742 eV per atom. The total magnetization comes out at 0.00 μB per formula unit.

a = 4.075 Å, b = 4.075 Å, c = 3.939 Å
α = 90.00°, β = 90.00°, γ = 90.00°
Space group P4/mmm (No. 123)
One atom of each set of equivalent atoms:
Gd  0.000  0.000  0.000 x1
Nb  0.500  0.500  0.500 x1
N  0.000  0.500  0.500 x2
O  0.500  0.500  0.000 x1

=====

Material: GdNbN2O
Method: DFT, PBE
State: relaxed

Calculated values
The value obtained for the calculated volume is 12.65 Å³ per atom. As for the total energy: -9.051 eV per atom. The total magnetization comes out at 0.00 μB per formula unit.

a = 7.874 Å, b = 5.556 Å, c = 5.782 Å
α = 90.00°, β = 90.00°, γ = 90.00°
Space group Pmc2_1 (No. 26)
One atom of each set of equivalent atoms:
Gd  0.000  0.246  0.000 x2
Gd  0.500  0.247  0.115 x2
Nb  0.256  0.266  0.570 x4
N  0.000  0.338  0.574 x2
N  0.300  0.442  0.857 x4
N  0.500  0.147  0.507 x2
O  0.200  0.060  0.228 x4

=====

Material: GdNbN2O
Method: DFT, PBE
State: relaxed

Calculated values
The value obtained for the calculated volume is 12.70 Å³ per atom. As for the total energy: -9.004 eV per atom. The total magnetization comes out at 0.00 μB per formula unit.

a = 7.836 Å, b = 5.685 Å, c = 5.703 Å
α = 90.00°, β = 90.00°, γ = 90.00°
Space group Pmc2_1 (No. 26)
One atom of each set of equivalent atoms:
Gd  0.000  0.226  0.000 x2
Gd  0.500  0.274  0.004 x2
Nb  0.250  0.250  0.493 x4
N  0.186  0.002  0.272 x4
N  0.314  0.499  0.774 x4
O  0.000  0.369  0.532 x2
O  0.500  0.132  0.529 x2